[1]
TmAg3Au7 PBE-GGA relaxed; space-group type = C2/m (12); calculated volume = 20.69 Å³ per atom; DOS(E_F) = 3.42 states/eV/cell; formation energy from the elements = -1.8 kcal/mol of atoms
1.0
4.271 -5.038 0.000
4.271 5.038 0.000
-2.109 0.000 5.288
Tm Ag Au
1 3 7
Cartesian
0.000 0.000 0.000 Tm
3.217 2.329 2.644 Ag
4.271 0.000 0.000 Ag
3.217 -2.329 2.644 Ag
-1.054 0.000 2.644 Au
1.067 2.465 4.396 Au
1.722 0.000 2.382 Au
5.367 2.465 0.892 Au
1.067 -2.465 4.396 Au
4.712 0.000 2.906 Au
5.367 -2.465 0.892 Au

[2]
AcInSbS PBE-GGA relaxed; energy relative to the elements, uncorrected = -1029.8 meV/atom; space-group type = P4/nmm (129); calculated volume = 30.11 Å³ per atom; DOS(E_F) = 2.10 states/eV/cell
1.0
5.194 0.000 0.000
0.000 5.194 0.000
0.000 0.000 8.929
Ac In Sb S
2 2 2 2
Cartesian
1.298 1.298 1.409 Ac
3.895 3.895 7.520 Ac
1.298 3.895 4.465 In
3.895 1.298 4.465 In
1.298 1.298 5.984 Sb
3.895 3.895 2.945 Sb
1.298 3.895 0.000 S
3.895 1.298 0.000 S

[3]
PmYIrAu PBE-GGA relaxed; space-group type = F-43m (216); calculated volume = 22.60 Å³ per atom; DOS(E_F) = 3.35 states/eV/cell; formation energy from the elements = -17.3 kcal/mol of atoms; energy above the most stable polymorph in this dataset = 0.08 eV per formula unit
1.0
0.000 3.562 3.562
3.562 0.000 3.562
3.562 3.562 0.000
Pm Y Ir Au
1 1 1 1
Cartesian
0.000 0.000 0.000 Pm
3.562 3.562 3.562 Y
1.781 1.781 1.781 Ir
5.344 5.344 5.344 Au

[4]
CdAs2AuS PBE-GGA relaxed; energy relative to the elements, uncorrected = 1156.7 meV/atom; space-group type = P4/mmm (123); calculated volume = 26.97 Å³ per atom; DOS(E_F) = 5.53 states/eV/cell
1.0
5.125 0.000 0.000
0.000 5.125 0.000
0.000 0.000 5.135
Cd As Au S
1 2 1 1
Cartesian
0.000 0.000 0.000 Cd
0.000 2.562 0.000 As
2.562 0.000 0.000 As
0.000 0.000 2.568 Au
2.562 2.562 2.568 S

[5]
Sr2TlBiPt PBE-GGA relaxed; space-group type = P4/mmm (123); calculated volume = 35.32 Å³ per atom; DOS(E_F) = 0.73 states/eV/cell; formation energy from the elements = -14.0 kcal/mol of atoms
1.0
5.812 0.000 0.000
0.000 5.812 0.000
0.000 0.000 5.229
Sr Tl Bi Pt
2 1 1 1
Cartesian
0.000 2.906 0.000 Sr
2.906 0.000 0.000 Sr
0.000 0.000 2.614 Tl
2.906 2.906 2.614 Bi
0.000 0.000 0.000 Pt

[6]
Nd3Er2Cd2 PBE-GGA relaxed; space-group type = Cmmm (65); calculated volume = 29.87 Å³ per atom; DOS(E_F) = 7.84 states/eV/cell; formation energy from the elements = -1.4 kcal/mol of atoms
1.0
2.577 -11.549 0.000
2.577 11.549 0.000
0.000 0.000 3.513
Nd Er Cd
3 2 2
Cartesian
0.000 0.000 0.000 Nd
2.577 8.145 0.000 Nd
2.577 -8.145 0.000 Nd
2.577 4.862 1.757 Er
2.577 -4.862 1.757 Er
2.577 1.609 1.757 Cd
2.577 -1.609 1.757 Cd

[7]
Ta3GaC PBE-GGA relaxed; space-group type = Pm-3m (221); calculated volume = 15.76 Å³ per atom; DOS(E_F) = 11.55 states/eV/cell; formation energy from the elements = -1.2 kcal/mol of atoms; energy above the most stable polymorph in this dataset = 2.15 eV per formula unit
1.0
4.287 0.000 0.000
0.000 4.287 0.000
0.000 0.000 4.287
Ta Ga C
3 1 1
Cartesian
0.000 0.000 2.143 Ta
0.000 2.143 0.000 Ta
2.143 0.000 0.000 Ta
2.143 2.143 2.143 Ga
0.000 0.000 0.000 C

[8]
CeTh2Zr2 PBE-GGA relaxed; space-group type = C2/c (15); calculated volume = 27.62 Å³ per atom; DOS(E_F) = 15.48 states/eV/cell; formation energy from the elements = 3.4 kcal/mol of atoms
1.0
3.255 -7.356 0.000
3.255 7.356 0.000
-3.157 0.000 5.768
Ce Th Zr
2 4 4
Cartesian
0.887 5.091 4.326 Ce
2.465 -5.091 1.442 Ce
1.624 0.743 0.005 Th
0.046 -0.743 2.889 Th
3.306 0.743 2.879 Th
1.728 -0.743 5.763 Th
2.465 3.692 1.442 Zr
0.887 2.188 4.326 Zr
2.465 -2.188 1.442 Zr
0.887 -3.692 4.326 Zr

[9]
TlSb2Br PBE-GGA relaxed; energy relative to the elements, uncorrected = 160.3 meV/atom; space-group type = P4/mmm (123); calculated volume = 28.09 Å³ per atom; DOS(E_F) = 2.24 states/eV/cell; energy above the most stable polymorph in this dataset = 1.92 eV per formula unit
1.0
3.388 0.000 0.000
0.000 3.388 0.000
0.000 0.000 9.789
Tl Sb Br
1 2 1
Cartesian
0.000 0.000 0.000 Tl
1.694 1.694 2.549 Sb
1.694 1.694 7.240 Sb
0.000 0.000 4.894 Br

[10]
MnCo2Tc PBE-GGA relaxed; space-group type = R3m (160); calculated volume = 12.02 Å³ per atom; DOS(E_F) = 4.44 states/eV/cell; formation energy from the elements = 3.7 kcal/mol of atoms; energy above the most stable polymorph in this dataset = 0.59 eV per formula unit
1.0
1.294 0.747 8.298
-1.294 0.747 8.298
0.000 -1.494 8.298
Mn Co Tc
1 2 1
Cartesian
0.000 0.000 0.000 Mn
0.000 0.000 12.301 Co
0.000 0.000 18.627 Co
0.000 0.000 6.231 Tc

[11]
Ca2AlCo PBE-GGA relaxed; space-group type = Cm (8); calculated volume = 22.99 Å³ per atom; DOS(E_F) = 3.49 states/eV/cell; formation energy from the elements = 0.7 kcal/mol of atoms
1.0
5.693 -1.752 0.000
5.693 1.752 0.000
-2.333 0.000 4.609
Ca Al Co
2 1 1
Cartesian
0.000 0.000 0.000 Ca
0.620 0.000 3.211 Ca
3.663 0.000 1.865 Al
7.952 0.000 1.144 Co

[12]
LiTaSb2Te PBE-GGA relaxed; energy relative to the elements, uncorrected = 885.4 meV/atom; space-group type = P4/mmm (123); calculated volume = 23.37 Å³ per atom; DOS(E_F) = 5.53 states/eV/cell; energy above the most stable polymorph in this dataset = 3.48 eV per formula unit
1.0
4.837 0.000 0.000
0.000 4.837 0.000
0.000 0.000 4.995
Li Ta Sb Te
1 1 2 1
Cartesian
0.000 0.000 0.000 Li
2.419 2.419 2.497 Ta
0.000 2.419 0.000 Sb
2.419 0.000 0.000 Sb
0.000 0.000 2.497 Te